1.
Entry from Alexandria: a geometry-optimized TaBeV2 structure (PBE).

Cell lengths 6.835, 6.835, 4.833 Å; angles 90.00, 90.00, 90.00 degrees
Space group I-42d (No. 122)
One atom of each set of equivalent atoms:
Ta  0.000  0.000  0.000 [4 per cell]
Be  0.000  0.000  0.500 [4 per cell]
V  0.211  0.250  0.625 [8 per cell]

Values from the calculation:
- M_tot (μB per atom) = 0.00
- formation energy (eV per atom) = 0.47
- density (kg/m3) = 8584

2.
Entry from Alexandria: a geometry-optimized Ta3BeV structure (PBE).

Cell lengths 4.390, 4.390, 4.390 Å; angles 90.00, 90.00, 90.00 degrees
Space group Pm-3m (No. 221)
One atom of each set of equivalent atoms:
Ta  0.000  0.000  0.500 [3 per cell]
Be  0.000  0.000  0.000 [1 per cell]
V  0.500  0.500  0.500 [1 per cell]

Values from the calculation:
- M_tot (μB per atom) = 0.00
- formation energy (eV per atom) = 0.68
- density (kg/m3) = 11833

3.
Entry from Alexandria: a geometry-optimized Ta3BeV structure (PBE).

Cell lengths 4.604, 4.604, 4.604 Å; angles 90.00, 90.00, 90.00 degrees
Space group Pm-3m (No. 221)
One atom of each set of equivalent atoms:
Ta  0.000  0.000  0.500 [3 per cell]
Be  0.500  0.500  0.500 [1 per cell]
V  0.000  0.000  0.000 [1 per cell]

Values from the calculation:
- M_tot (μB per atom) = 0.00
- formation energy (eV per atom) = 1.43
- density (kg/m3) = 10260

4.
Entry from Alexandria: a geometry-optimized TaBe4V structure (PBE).

Cell lengths 6.337, 6.337, 6.337 Å; angles 90.00, 90.00, 90.00 degrees
Space group F-43m (No. 216)
One atom of each set of equivalent atoms:
Ta  0.000  0.000  0.000 [4 per cell]
Be  0.124  0.124  0.376 [16 per cell]
V  0.250  0.250  0.750 [4 per cell]

Values from the calculation:
- M_tot (μB per atom) = 0.00
- formation energy (eV per atom) = -0.21
- density (kg/m3) = 6995

5.
Entry from Alexandria: a geometry-optimized TaBe2W2 structure (PBE).

Cell lengths 6.327, 6.327, 3.263 Å; angles 90.00, 90.00, 90.00 degrees
Space group P4/mbm (No. 127)
One atom of each set of equivalent atoms:
Ta  0.000  0.000  0.000 [2 per cell]
Be  0.115  0.385  0.000 [4 per cell]
W  0.176  0.676  0.500 [4 per cell]

Values from the calculation:
- M_tot (μB per atom) = 0.00
- formation energy (eV per atom) = -0.23
- density (kg/m3) = 14408

6.
Entry from Alexandria: a geometry-optimized TaBe17W structure (PBE).

Cell lengths 7.3248, 7.3248, 10.6286 Å; angles 90.00, 90.00, 120.00 degrees
Space group R3m (No. 160, hexagonal axes)
One atom of each set of equivalent atoms:
Ta  0.0000  0.0000  0.0000 [3 per cell]
Be  0.0000  0.0000  0.2425 [3 per cell]
Be  0.0000  0.0000  0.4419 [3 per cell]
Be  0.0023  0.2988  0.3406 [18 per cell]
Be  0.0024  0.5012  0.8400 [9 per cell]
Be  0.0081  0.5040  0.4952 [9 per cell]
Be  0.1690  0.3379  0.5192 [9 per cell]
W  0.0000  0.0000  0.6821 [3 per cell]

Values from the calculation:
- M_tot (μB per atom) = 0.00
- formation energy (eV per atom) = -0.16
- density (kg/m3) = 5225